Record 1
4
Lattice="3.8716 0.0000 0.0000 1.9358 3.3529 0.0000 1.9358 1.1176 8.2285" Properties=species:S:1:pos:R:3 comment="Ho2PbSe, relaxed, DFT PBE-GGA" volume_a3_per_atom=26.7 space_group="No. 160" formation_energy_uncorrected_mev_per_atom=-1055 e_tot_ev_per_atom=-5.142 magnetic_moment_mub_per_cell=0.0 e_above_lowest_polymorph_mev_per_atom=22 pbc="T T T"
Ho 1.9358 1.1176 6.5028
Ho 1.9358 1.1176 1.7273
Pb 3.8716 2.2353 4.1316
Se 5.8074 3.3529 8.2097

---

Record 2
20
Lattice="8.6008 -0.1873 -2.6196 -3.4855 7.8652 -2.6196 -0.1248 -0.1873 8.9901" Properties=species:S:1:pos:R:3 comment="Y7CBr12, relaxed, DFT PBE-GGA" volume_a3_per_atom=29.7 space_group="No. 148" formation_energy_uncorrected_mev_per_atom=-1597 e_tot_ev_per_atom=-5.324 magnetic_moment_mub_per_cell=0.9 pbc="T T T"
Y 5.7784 5.1463 3.7052
Y 2.2310 0.7413 -0.7694
Y 0.7298 0.1759 2.3570
Y 2.4953 3.7453 1.8754
Y 4.2608 7.3147 1.3939
Y 2.7596 6.7494 4.5203
Y -0.7878 2.3444 0.0457
C 0.0000 0.0000 0.0000
Br 6.7455 2.1404 3.7247
Br 5.1157 1.6335 -1.6930
Br 3.4463 1.0488 1.8538
Br 5.0776 4.5590 0.9559
Br 1.5860 0.4411 5.3847
Br 3.3099 3.9062 4.6116
Br 1.6807 3.5844 -0.8608
Br 3.4046 7.0495 -1.6339
Br -0.0870 2.9316 2.7950
Br 1.5442 6.4418 1.8970
Br -0.1252 5.8571 5.4438
Br -1.7549 5.3502 0.0261

---

Record 3
20
Lattice="-5.9343 1.0451 1.6155 -0.1801 -5.4618 2.8717 2.7199 3.8014 7.4006" Properties=species:S:1:pos:R:3 comment="Ba2YPbO6, relaxed, DFT PBE-GGA" volume_a3_per_atom=16.9 space_group="No. 14" formation_energy_uncorrected_mev_per_atom=-2220 e_tot_ev_per_atom=-6.597 magnetic_moment_mub_per_cell=2.1 pbc="T T T"
Ba 0.4646 -4.4598 4.6968
Ba -1.0559 0.5947 7.8214
Ba -3.8592 3.8445 7.1910
Ba -2.3387 -1.2100 4.0664
Y -2.9672 0.5225 0.8077
Y 1.2699 -0.8302 5.1362
Pb -1.6072 2.4232 4.5081
Pb -0.0900 -2.7309 1.4358
O -1.5539 -3.6219 2.8017
O -3.1656 -1.3348 7.3814
O -1.8407 3.0066 9.0861
O -0.2289 0.7195 4.5064
O -0.4403 -2.0164 5.9887
O -2.0503 0.3230 10.5408
O -2.9543 1.4011 5.8991
O -1.3443 -0.9383 1.3470
O -4.9603 -0.8524 4.7861
O -0.7210 -2.1369 9.0786
O 1.5658 0.2371 7.1017
O -2.6735 1.5216 2.8092

---

Record 4
20
Lattice="-1.9579 2.6231 0.6328 -2.9858 -4.0256 7.4493 6.6253 3.8080 4.7133" Properties=species:S:1:pos:R:3 comment="Ho2Be2ZnNi5, relaxed, DFT PBE-GGA" volume_a3_per_atom=13.4 space_group="No. 127" e_tot_ev_per_atom=-5.054 delta_e_f_mev_per_atom=-375 magnetic_moment_mub_per_cell=0.0 pbc="T T T"
Ho -0.8306 -2.0524 5.9377
Ho 4.4702 1.8348 6.2249
Ho 1.5639 0.4787 2.8545
Ho 2.0757 -0.6962 9.3081
Be 3.7202 1.8797 3.7186
Be -0.0806 -2.0972 8.4440
Be 4.0562 0.9181 8.7443
Be -0.4167 -1.1356 3.4183
Zn 0.0000 0.0000 0.0000
Zn 1.8198 -0.1088 6.0813
Ni -1.2082 0.6726 2.2558
Ni 2.8898 1.7330 10.5396
Ni 3.9991 4.0242 4.4741
Ni -0.2414 0.0736 7.7302
Ni -2.3175 -1.6186 8.3212
Ni 1.9230 2.3320 5.0651
Ni 2.1036 1.7800 7.9123
Ni -0.4220 0.6256 4.8831
Ni -2.4718 -0.7012 4.0410
Ni 2.3337 3.2156 2.6731

---

Record 5
5
Lattice="-2.8899 1.9362 -5.9519 5.6638 -1.9811 -3.3945 -2.6638 -6.3128 -0.7602" Properties=species:S:1:pos:R:3 comment="K3ZnBi, relaxed, DFT PBE-GGA" volume_a3_per_atom=65.5 space_group="No. 221" e_tot_ev_per_atom=-1.700 delta_e_f_mev_per_atom=-10 magnetic_moment_mub_per_cell=0.0 e_above_lowest_polymorph_mev_per_atom=43 pbc="T T T"
K 2.8319 -0.9905 -1.6972
K -1.3319 -3.1564 -0.3801
K -1.4450 0.9681 -2.9759
Zn 0.0550 -3.1789 -5.0533
Bi 0.0000 0.0000 0.0000

---

Record 6
4
Lattice="-3.5697 0.1709 -0.7760 -1.1413 -0.3873 -3.4528 -2.5150 -12.2088 0.2639" Properties=species:S:1:pos:R:3 comment="LiEu2Tl, relaxed, DFT PBE-GGA" volume_a3_per_atom=35.6 space_group="No. 166" e_tot_ev_per_atom=-6.064 delta_e_f_mev_per_atom=143 magnetic_moment_mub_per_cell=15.7 pbc="T T T"
Eu -2.2586 -8.9145 -0.1903
Eu -4.9674 -3.5108 -3.7746
Tl 0.0000 0.0000 0.0000
Li -3.6130 -6.2126 -1.9824

---

Record 7
8
Lattice="7.7877 0.0000 0.0000 0.0000 7.7877 0.0000 3.8938 3.8938 2.9305" Properties=species:S:1:pos:R:3 comment="Zr2ScRe, relaxed, DFT PBE-GGA" volume_a3_per_atom=22.2 space_group="No. 122" e_tot_ev_per_atom=-8.621 delta_e_f_mev_per_atom=348 magnetic_moment_mub_per_cell=0.0 pbc="T T T"
Sc 3.8938 3.8938 0.0000
Sc 3.8938 7.7877 1.4653
Re 0.0000 0.0000 0.0000
Re 7.7877 3.8938 1.4653
Zr 6.1931 1.9469 0.7326
Zr 1.5946 5.8408 0.7326
Zr 5.8408 5.4885 2.1979
Zr 9.7346 10.0869 2.1979

---

Record 8
5
Lattice="-2.6304 4.7821 -2.1328 -5.2357 -2.4343 0.9990 -0.0483 1.6074 3.6637" Properties=species:S:1:pos:R:3 comment="YTe2OsN, relaxed, DFT PBE-GGA" volume_a3_per_atom=27.5 space_group="No. 123" formation_energy_uncorrected_mev_per_atom=1326 e_tot_ev_per_atom=-5.134 magnetic_moment_mub_per_cell=2.5 e_above_lowest_polymorph_mev_per_atom=1527 pbc="T T T"
Y 0.0000 0.0000 0.0000
Te -2.6178 -1.2171 0.4995
Te -1.3152 2.3910 -1.0664
Os -3.9572 1.9776 1.2649
N -0.0242 0.8037 1.8318

---

Record 9
4
Lattice="3.3644 0.0000 0.0000 0.0000 5.7676 -0.1272 0.0000 4.0121 5.4990" Properties=species:S:1:pos:R:3 comment="SbPb2Au, relaxed, DFT PBE-GGA" volume_a3_per_atom=27.1 space_group="No. 10" formation_energy_uncorrected_mev_per_atom=131 e_tot_ev_per_atom=-3.573 magnetic_moment_mub_per_cell=0.0 pbc="T T T"
Au 0.0000 2.0061 2.7495
Pb 0.0000 0.0000 0.0000
Pb 1.6822 2.8838 -0.0636
Sb 1.6822 4.8899 2.6859

---

Record 10
5
Lattice="-2.1855 -3.2539 0.4944 1.9864 -1.7773 -2.9162 4.6174 -4.9684 3.4969" Properties=species:S:1:pos:R:3 comment="Ta2NbSb2, relaxed, DFT PBE-GGA" volume_a3_per_atom=22.2 space_group="No. 139" formation_energy_uncorrected_mev_per_atom=658 e_tot_ev_per_atom=-7.746 magnetic_moment_mub_per_cell=0.0 e_above_lowest_polymorph_mev_per_atom=290 pbc="T T T"
Sb 1.1662 -5.3689 1.3902
Sb 3.2521 -4.6306 -0.3151
Nb 0.0000 0.0000 0.0000
Ta 0.7927 -2.9796 -0.3204
Ta 3.6256 -7.0200 1.3955

---

Record 11
16
Lattice="3.2674 -5.6594 0.0000 3.2674 5.6594 0.0000 0.0000 0.0000 10.3632" Properties=species:S:1:pos:R:3 comment="KMg14Ti, relaxed, DFT PBE-GGA" volume_a3_per_atom=24.0 space_group="No. 187" e_tot_ev_per_atom=-1.819 delta_e_f_mev_per_atom=138 magnetic_moment_mub_per_cell=0.2 e_above_lowest_polymorph_mev_per_atom=18 pbc="T T T"
K 0.0000 0.0000 5.1816
Mg 4.8863 -2.8211 0.0000
Mg 1.6816 2.8020 5.1816
Mg 1.6486 -2.8211 0.0000
Mg 4.8533 2.8020 5.1816
Mg 3.2674 -0.0172 0.0000
Mg 3.2674 0.0553 5.1816
Mg 3.2674 3.7778 2.4105
Mg 3.2674 3.7778 7.9527
Mg 1.6295 0.9408 2.4105
Mg 1.6295 0.9408 7.9527
Mg 4.9054 0.9408 2.4105
Mg 4.9054 0.9408 7.9527
Mg 3.2674 -1.8865 2.6393
Mg 3.2674 -1.8865 7.7239
Ti 0.0000 0.0000 0.0000

---

Record 12
14
Lattice="-3.3820 -5.5759 -2.3337 6.8686 -0.8726 0.1875 -0.5194 -2.5944 6.9515" Properties=species:S:1:pos:R:3 comment="NaMgPS4, relaxed, DFT PBE-GGA" volume_a3_per_atom=23.4 space_group="No. 63" formation_energy_uncorrected_mev_per_atom=-770 e_tot_ev_per_atom=-4.318 magnetic_moment_mub_per_cell=0.0 pbc="T T T"
Na 1.4836 -4.5214 2.4027
Na 1.7433 -3.2242 -1.0731
Mg -2.1763 -5.6117 -0.2673
Mg 5.1435 -3.4312 5.0727
P 5.2828 -2.1892 1.5673
P -2.3156 -6.8536 3.2381
S 0.6648 -3.1758 4.8334
S 2.6666 -6.8781 3.6012
S -1.3264 -6.9158 5.0319
S -1.0989 -5.7794 1.9868
S 4.2937 -2.1270 -0.2265
S 4.0662 -3.2635 2.8186
S 2.3025 -5.8671 -0.0280
S 0.3007 -2.1648 1.2042

---

What did the first record say?
4
Lattice="3.8716 0.0000 0.0000 1.9358 3.3529 0.0000 1.9358 1.1176 8.2285" Properties=species:S:1:pos:R:3 comment="Ho2PbSe, relaxed, DFT PBE-GGA" volume_a3_per_atom=26.7 space_group="No. 160" formation_energy_uncorrected_mev_per_atom=-1055 e_tot_ev_per_atom=-5.142 magnetic_moment_mub_per_cell=0.0 e_above_lowest_polymorph_mev_per_atom=22 pbc="T T T"
Ho 1.9358 1.1176 6.5028
Ho 1.9358 1.1176 1.7273
Pb 3.8716 2.2353 4.1316
Se 5.8074 3.3529 8.2097